(1)
TcAsP2Pt: optimized geometry, PBE-GGA.

DOS at the Fermi energy = 3.8 states/eV/cell
Magnetic moment = 2.847 Bohr magnetons per cell
Calculated total energy = -5.06 eV/atom
Mass density = 7.03 g/cm3

Lattice parameters (Å, degrees): 4.6583 4.6583 4.6789 90.00 90.00 90.00
Space group P4/mmm (No. 123)
Symmetry-distinct sites (fractional):
Tc 0.0000 0.0000 0.0000 x1
As 0.5000 0.5000 0.5000 x1
P 0.0000 0.5000 0.5000 x2
Pt 0.5000 0.5000 0.0000 x1

***

(2)
CoCu2Pt: optimized geometry, PBE-GGA.

DOS at the Fermi energy = 10.7 states/eV/cell
Magnetic moment = 4.992 Bohr magnetons per cell
Calculated total energy = -5.29 eV/atom
Mass density = 12.18 g/cm3

Lattice parameters (Å, degrees): 2.6454 2.6454 25.7161 90.00 90.00 120.00
Space group R3m (No. 160, hexagonal axes)
Symmetry-distinct sites (fractional):
Co 0.0000 0.0000 0.0000 x3
Cu 0.0000 0.0000 0.5877 x3
Cu 0.0000 0.0000 0.7457 x3
Pt 0.0000 0.0000 0.1669 x3

***

(3)
AlSi2Au: optimized geometry, PBE-GGA.

Uncorrected formation energy = 0.2389 eV/atom
DOS at the Fermi energy = 1.2 states/eV/cell
Magnetic moment = 0.000 Bohr magnetons per cell
Mass density = 6.95 g/cm3

Lattice parameters (Å, degrees): 3.5508 3.5508 5.3109 90.00 90.00 90.00
Space group P4/mmm (No. 123)
Symmetry-distinct sites (fractional):
Al 0.0000 0.0000 0.0000 x1
Si 0.5000 0.5000 0.2324 x2
Au 0.0000 0.0000 0.5000 x1

***

(4)
MgTi5Ir6: optimized geometry, PBE-GGA.

DOS at the Fermi energy = 20.3 states/eV/cell
Magnetic moment = 0.000 Bohr magnetons per cell
Calculated total energy = -8.66 eV/atom
Mass density = 13.02 g/cm3

Lattice parameters (Å, degrees): 4.2319 6.7699 12.6130 90.00 90.00 90.00
Space group Immm (No. 71)
Symmetry-distinct sites (fractional):
Mg 0.0000 0.0000 0.0000 x2
Ti 0.0000 0.0000 0.3388 x4
Ti 0.0000 0.5000 0.0000 x2
Ti 0.0000 0.5000 0.3312 x4
Ir 0.0000 0.2466 0.1687 x8
Ir 0.0000 0.2538 0.5000 x4

***

- Which of these has the highest magnetic moment?
  CoCu2Pt

***

- Number 2 is which compound?
  CoCu2Pt